# Hg4WSe PBE optimized geometry
# total energy: -1.869 eV/atom
# formation energy without anion corrections: 1.0714 eV per atom
data_Hg4WSe
_chemical_formula_sum 'Hg16 W4 Se4'
_symmetry_space_group_name_H-M 'F -4 3 m'
_symmetry_Int_Tables_number 216
_symmetry_space_group_name_Hall 'F -4 2 3'
_cell_length_a 8.253
_cell_length_b 8.253
_cell_length_c 8.253
_cell_angle_alpha 90.00
_cell_angle_beta 90.00
_cell_angle_gamma 90.00
loop_
_atom_site_label
_atom_site_type_symbol
_atom_site_fract_x
_atom_site_fract_y
_atom_site_fract_z
_atom_site_occupancy
Hg1 Hg 0.125 0.125 0.125 1
W1 W 0.000 0.000 0.500 1
Se1 Se 0.250 0.250 0.750 1

# Be2Pt PBE optimized geometry
# formation energy from the elements: -0.613 eV/atom
# total energy: -5.111 eV/atom
# energy above the lowest structure with this stoichiometry: 35 meV per atom
data_Be2Pt
_chemical_formula_sum 'Be8 Pt4'
_symmetry_space_group_name_H-M 'P n m a'
_symmetry_Int_Tables_number 62
_cell_length_a 4.570
_cell_length_b 3.787
_cell_length_c 7.311
_cell_angle_alpha 90.00
_cell_angle_beta 90.00
_cell_angle_gamma 90.00
loop_
_symmetry_equiv_pos_as_xyz
'x,y,z'
'-x,-y,-z'
'-x+1/2,-y,z+1/2'
'x+1/2,y,-z+1/2'
'x+1/2,-y+1/2,-z+1/2'
'-x+1/2,y+1/2,z+1/2'
'-x,y+1/2,-z'
'x,-y+1/2,z'
loop_
_atom_site_label
_atom_site_type_symbol
_atom_site_fract_x
_atom_site_fract_y
_atom_site_fract_z
_atom_site_occupancy
Be1 Be 0.138 0.250 0.029 1
Be2 Be 0.183 0.250 0.695 1
Pt1 Pt 0.143 0.250 0.369 1

# BaFe8 PBE optimized geometry
# formation energy from the elements: 0.603 eV/atom
# total energy: -7.133 eV/atom
data_BaFe8
_chemical_formula_sum 'Ba2 Fe16'
_symmetry_space_group_name_H-M 'I 4/m m m'
_symmetry_Int_Tables_number 139
_symmetry_space_group_name_Hall '-I 4 2'
_cell_length_a 8.169
_cell_length_b 8.169
_cell_length_c 3.824
_cell_angle_alpha 90.00
_cell_angle_beta 90.00
_cell_angle_gamma 90.00
loop_
_atom_site_label
_atom_site_type_symbol
_atom_site_fract_x
_atom_site_fract_y
_atom_site_fract_z
_atom_site_occupancy
Ba1 Ba 0.000 0.000 0.000 1
Fe1 Fe 0.000 0.363 0.000 1
Fe2 Fe 0.194 0.194 0.500 1

# InTePb PBE optimized geometry
# total energy: -3.214 eV/atom
# formation energy without anion corrections: -0.0176 eV per atom
# energy above the lowest structure with this stoichiometry: 104 meV per atom
data_InTePb
_chemical_formula_sum 'In4 Te4 Pb4'
_symmetry_space_group_name_H-M 'P 21 3'
_symmetry_Int_Tables_number 198
_symmetry_space_group_name_Hall 'P 2ac 2ab 3'
_cell_length_a 7.531
_cell_length_b 7.531
_cell_length_c 7.531
_cell_angle_alpha 90.00
_cell_angle_beta 90.00
_cell_angle_gamma 90.00
loop_
_atom_site_label
_atom_site_type_symbol
_atom_site_fract_x
_atom_site_fract_y
_atom_site_fract_z
_atom_site_occupancy
In1 In 0.205 0.205 0.205 1
Te1 Te 0.063 0.563 0.937 1
Pb1 Pb 0.222 0.778 0.278 1

# Ca3Zn9Cd2 PBE optimized geometry
# formation energy from the elements: -0.242 eV/atom
# total energy: -1.620 eV/atom
data_Ca3Zn9Cd2
_chemical_formula_sum 'Ca6 Zn18 Cd4'
_symmetry_space_group_name_H-M 'I m m m'
_symmetry_Int_Tables_number 71
_symmetry_space_group_name_Hall '-I 2 2'
_cell_length_a 4.487
_cell_length_b 9.064
_cell_length_c 13.662
_cell_angle_alpha 90.00
_cell_angle_beta 90.00
_cell_angle_gamma 90.00
loop_
_atom_site_label
_atom_site_type_symbol
_atom_site_fract_x
_atom_site_fract_y
_atom_site_fract_z
_atom_site_occupancy
Ca1 Ca 0.000 0.000 0.000 1
Ca2 Ca 0.000 0.000 0.295 1
Zn1 Zn 0.000 0.286 0.139 1
Zn2 Zn 0.000 0.359 0.330 1
Zn3 Zn 0.000 0.500 0.000 1
Cd1 Cd 0.000 0.195 0.500 1

# Ac3CdSn3 PBE optimized geometry
# formation energy from the elements: -0.423 eV/atom
# total energy: -4.030 eV/atom
# energy above the lowest structure with this stoichiometry: 216 meV per atom
data_Ac3CdSn3
_chemical_formula_sum 'Ac6 Cd2 Sn6'
_symmetry_space_group_name_H-M 'P 63/m'
_symmetry_Int_Tables_number 176
_symmetry_space_group_name_Hall '-P 6c'
_cell_length_a 9.8824
_cell_length_b 9.8824
_cell_length_c 6.7774
_cell_angle_alpha 90.00
_cell_angle_beta 90.00
_cell_angle_gamma 120.00
loop_
_atom_site_label
_atom_site_type_symbol
_atom_site_fract_x
_atom_site_fract_y
_atom_site_fract_z
_atom_site_occupancy
Ac1 Ac 0.0517 0.3579 0.2500 1
Cd1 Cd 0.3333 0.6667 0.7500 1
Sn1 Sn 0.0505 0.3635 0.7500 1

# CsSc2Pd2 PBE optimized geometry
# formation energy from the elements: -0.282 eV/atom
# total energy: -5.063 eV/atom
data_CsSc2Pd2
_chemical_formula_sum 'Cs2 Sc4 Pd4'
_symmetry_space_group_name_H-M 'I 4/m m m'
_symmetry_Int_Tables_number 139
_symmetry_space_group_name_Hall '-I 4 2'
_cell_length_a 4.585
_cell_length_b 4.585
_cell_length_c 14.384
_cell_angle_alpha 90.00
_cell_angle_beta 90.00
_cell_angle_gamma 90.00
loop_
_atom_site_label
_atom_site_type_symbol
_atom_site_fract_x
_atom_site_fract_y
_atom_site_fract_z
_atom_site_occupancy
Cs1 Cs 0.000 0.000 0.000 1
Sc1 Sc 0.000 0.500 0.250 1
Pd1 Pd 0.000 0.000 0.350 1

# BaZnGe2Mo PBE optimized geometry
# formation energy from the elements: -0.215 eV/atom
# total energy: -4.867 eV/atom
data_BaZnGe2Mo
_chemical_formula_sum 'Ba1 Zn1 Ge2 Mo1'
_symmetry_space_group_name_H-M 'P 4/m m m'
_symmetry_Int_Tables_number 123
_symmetry_space_group_name_Hall '-P 4 2'
_cell_length_a 4.929
_cell_length_b 4.929
_cell_length_c 5.097
_cell_angle_alpha 90.00
_cell_angle_beta 90.00
_cell_angle_gamma 90.00
loop_
_atom_site_label
_atom_site_type_symbol
_atom_site_fract_x
_atom_site_fract_y
_atom_site_fract_z
_atom_site_occupancy
Ba1 Ba 0.000 0.000 0.000 1
Zn1 Zn 0.500 0.500 0.000 1
Ge1 Ge 0.000 0.500 0.500 1
Mo1 Mo 0.500 0.500 0.500 1